No. 1
Tm2NpAg3Te6 | GGA-PBE | optimized geometry

Properties
DOS(E_F) (states/eV per cell): 11.24
E_form (uncorrected) (eV/atom): -0.684

Cell: 17.1571 4.4304 10.6712 Å, 90.00 106.81 90.00°
Closest atoms and distances in Å follow each position.
Space group C2/m (No. 12)
Inequivalent atoms, fractional coordinates:
Tm (0.1628, 0.0000, 0.3316) [4 per cell]  6 Te 2.99-3.09
Np (0.0000, 0.5000, 0.0000) [2 per cell]  6 Te 3.15-3.25
Ag (0.0000, 0.5000, 0.5000) [2 per cell]  2 Te 2.64
Ag (0.1758, 0.0000, 0.9703) [4 per cell]  4 Te 2.81-2.89
Te (0.0168, 0.0000, 0.7993) [4 per cell]  1 Ag 2.81, 1 Tm 2.99
Te (0.1573, 0.5000, 0.5228) [4 per cell]  1 Ag 2.64
Te (0.1939, 0.5000, 0.1497) [4 per cell]  3 Ag 2.88-2.89, 2 Tm 3.09

---

No. 2
Y3NpAg3Te8 | GGA-PBE | optimized geometry

Properties
DOS(E_F) (states/eV per cell): 12.41
E_form (uncorrected) (eV/atom): -0.786

Cell: 14.8672 8.8026 8.6489 Å, 90.00 124.02 90.00°
Closest atoms and distances in Å follow each position.
Space group C2/m (No. 12)
Inequivalent atoms, fractional coordinates:
Y (0.0000, 0.0000, 0.0000) [2 per cell]  6 Te 3.09-3.11
Y (0.2500, 0.2500, 0.5000) [4 per cell]  6 Te 3.09-3.11
Np (0.0000, 0.5000, 0.0000) [2 per cell]  6 Te 3.09
Ag (0.0000, 0.5000, 0.5000) [2 per cell]  6 Te 3.06-3.08
Ag (0.2500, 0.2500, 0.0000) [4 per cell]  6 Te 3.06-3.08
Te (0.0008, 0.2503, 0.7501) [8 per cell]  2 Ag 3.07-3.08, 1 Np 3.09, 2 Y 3.09
Te (0.2478, 0.5000, 0.7516) [4 per cell]  3 Ag 3.06, 3 Y 3.11
Te (0.2495, 0.0000, 0.7504) [4 per cell]  2 Ag 3.08, 1 Np 3.09, 2 Y 3.09

---

No. 3
ThNpAg | GGA-PBE | optimized geometry

Properties
DOS(E_F) (states/eV per cell): 32.40
Formation enthalpy at 0 K (meV per atom): 434

Cell: 4.1610 4.1610 32.1366 Å, 90.00 90.00 120.00°
Closest atoms and distances in Å follow each position.
Space group R-3m (No. 166, hexagonal axes)
Inequivalent atoms, fractional coordinates:
Th (0.0000, 0.0000, 0.0817) [6 per cell]  1 Np 2.62
Np (0.0000, 0.0000, 0.1632) [6 per cell]  3 Np 2.41, 1 Th 2.62
Ag (0.0000, 0.0000, 0.3524) [6 per cell]  3 Ag 2.70

---

No. 4
Th2NpAg | GGA-PBE | optimized geometry

Properties
DOS(E_F) (states/eV per cell): 7.90
Distance to the lowest polymorph of the same formula (eV/f.u.): 0.00
Formation enthalpy at 0 K (meV per atom): 151

Cell: 5.5342 5.5342 3.4181 Å, 90.00 90.00 90.00°
Closest atoms and distances in Å follow each position.
Space group P4/mmm (No. 123)
Inequivalent atoms, fractional coordinates:
Th (0.0000, 0.5000, 0.0000) [2 per cell]  4 Np 3.25, 4 Ag 3.25, 2 Th 3.42
Np (0.0000, 0.0000, 0.5000) [1 per cell]  8 Th 3.25, 2 Np 3.42
Ag (0.5000, 0.5000, 0.5000) [1 per cell]  8 Th 3.25, 2 Ag 3.42

---

Among the records above, which one has the highest DOS(E_F)? ThNpAg

---

DOS(E_F) of number 3 (ThNpAg)? 32.40 states/eV per cell

---

Which formula does entry 2 have? Y3NpAg3Te8

---

Which formula does entry 2 have? Y3NpAg3Te8